Below is a relaxed structure of ZrZnIr2, with properties calculated at the PBE-GGA level.

Lattice parameters (Å, degrees): 6.996 6.996 5.720 90.00 90.00 90.00
Atoms (fractional coordinates):
Zr 0.000 0.000 0.000
Zr 0.000 0.500 0.250
Zr 0.500 0.000 0.750
Zr 0.500 0.500 0.500
Zn 0.000 0.000 0.500
Zn 0.000 0.500 0.750
Zn 0.500 0.000 0.250
Zn 0.500 0.500 0.000
Ir 0.231 0.250 0.625
Ir 0.250 0.731 0.875
Ir 0.250 0.769 0.375
Ir 0.269 0.250 0.125
Ir 0.731 0.750 0.125
Ir 0.750 0.231 0.375
Ir 0.750 0.269 0.875
Ir 0.769 0.750 0.625

DOS at the Fermi energy ... 0.048 states/eV per atom
Space group ... I-42d (122)
Raw total energy ... -6.938 eV per atom